DFT (PBE-GGA) results for a relaxed structure of Ba3US6.

a = 12.0992 Å, b = 12.0992 Å, c = 14.9998 Å
α = 90.00°, β = 90.00°, γ = 120.00°
Space group R-3c (No. 167, hexagonal axes)
One atom of each set of equivalent atoms:
Ba (0.0000, 0.3616, 0.2500)
U (0.0000, 0.0000, 0.0000)
S (0.0236, 0.1850, 0.4027)


DFT (PBE-GGA) results for a relaxed structure of Ba2US5.

a = 5.442 Å, b = 15.394 Å, c = 13.758 Å
α = 90.00°, β = 90.00°, γ = 90.00°
Space group Cmcm (No. 63)
One atom of each set of equivalent atoms:
Ba (0.000, 0.147, 0.072)
U (0.000, 0.167, 0.750)
S (0.000, 0.051, 0.626)
S (0.000, 0.277, 0.610)
S (0.000, 0.309, 0.250)


DFT (PBE-GGA) results for a relaxed structure of Ba2U3S8.

a = 14.941 Å, b = 8.229 Å, c = 6.957 Å
α = 90.00°, β = 109.42°, γ = 90.00°
Space group C2/m (No. 12)
One atom of each set of equivalent atoms:
Ba (0.226, 0.000, 0.163)
U (0.000, 0.244, 0.500)
U (0.000, 0.500, 0.000)
S (0.099, 0.500, 0.406)
S (0.107, 0.279, 0.895)
S (0.110, 0.000, 0.465)


DFT (PBE-GGA) results for a relaxed structure of Ba2U3S8.

a = 9.725 Å, b = 14.993 Å, c = 4.722 Å
α = 90.00°, β = 90.00°, γ = 90.00°
Space group Cmmm (No. 65)
One atom of each set of equivalent atoms:
Ba (0.000, 0.235, 0.000)
U (0.000, 0.500, 0.000)
U (0.221, 0.000, 0.500)
S (0.000, 0.108, 0.500)
S (0.000, 0.400, 0.500)
S (0.234, 0.395, 0.000)


DFT (PBE-GGA) results for a relaxed structure of Ba3US7.

a = 10.847 Å, b = 11.115 Å, c = 7.775 Å
α = 90.00°, β = 132.84°, γ = 90.00°
Space group Cm (No. 8)
One atom of each set of equivalent atoms:
Ba (0.000, 0.000, 0.000)
Ba (0.499, 0.225, 0.442)
U (0.430, 0.000, 0.869)
S (0.103, 0.285, 0.132)
S (0.112, 0.000, 0.479)
S (0.120, 0.500, 0.771)
S (0.332, 0.000, 0.095)
S (0.402, 0.246, 0.758)


DFT (PBE-GGA) results for a relaxed structure of Ba2US4.

a = 7.758 Å, b = 12.562 Å, c = 4.326 Å
α = 90.00°, β = 90.00°, γ = 90.00°
Space group Pbam (No. 55)
One atom of each set of equivalent atoms:
Ba (0.079, 0.180, 0.000)
U (0.000, 0.500, 0.500)
S (0.132, 0.695, 0.500)
S (0.213, 0.451, 0.000)


DFT (PBE-GGA) results for a relaxed structure of Ba3U4S12.

a = 10.385 Å, b = 10.385 Å, c = 10.385 Å
α = 90.00°, β = 90.00°, γ = 90.00°
Space group Im-3 (No. 204)
One atom of each set of equivalent atoms:
Ba (0.000, 0.000, 0.500)
U (0.250, 0.250, 0.250)
S (0.000, 0.230, 0.285)


DFT (PBE-GGA) results for a relaxed structure of BaU2S4.

a = 4.076 Å, b = 13.037 Å, c = 13.577 Å
α = 90.00°, β = 90.00°, γ = 90.00°
Space group Cmcm (No. 63)
One atom of each set of equivalent atoms:
Ba (0.000, 0.111, 0.250)
U (0.000, 0.369, 0.060)
S (0.000, 0.000, 0.000)
S (0.000, 0.263, 0.612)
S (0.000, 0.430, 0.250)


DFT (PBE-GGA) results for a relaxed structure of BaUS4.

a = 14.818 Å, b = 7.038 Å, c = 6.586 Å
α = 90.00°, β = 97.24°, γ = 90.00°
Space group C2/m (No. 12)
One atom of each set of equivalent atoms:
Ba (0.212, 0.000, 0.259)
U (0.052, 0.500, 0.289)
S (0.000, 0.259, 0.000)
S (0.108, 0.267, 0.562)
S (0.205, 0.500, 0.169)


DFT (PBE-GGA) results for a relaxed structure of Ba4U3S10.

a = 5.248 Å, b = 5.248 Å, c = 36.618 Å
α = 90.00°, β = 90.00°, γ = 90.00°
Space group I4/mmm (No. 139)
One atom of each set of equivalent atoms:
Ba (0.000, 0.000, 0.069)
Ba (0.000, 0.000, 0.200)
U (0.000, 0.000, 0.356)
U (0.000, 0.000, 0.500)
S (0.000, 0.000, 0.284)
S (0.000, 0.000, 0.428)
S (0.000, 0.500, 0.000)
S (0.000, 0.500, 0.141)


DFT (PBE-GGA) results for a relaxed structure of Ba2U3S9.

a = 11.908 Å, b = 13.432 Å, c = 10.857 Å
α = 90.00°, β = 111.33°, γ = 90.00°
Space group C2/c (No. 15)
One atom of each set of equivalent atoms:
Ba (0.190, 0.009, 0.250)
U (0.080, 0.249, 0.495)
U (0.250, 0.250, 0.000)
S (0.000, 0.176, 0.250)
S (0.070, 0.119, 0.954)
S (0.100, 0.372, 0.047)
S (0.163, 0.293, 0.747)
S (0.236, 0.376, 0.460)


DFT (PBE-GGA) results for a relaxed structure of Ba2US5.

a = 12.462 Å, b = 8.651 Å, c = 7.854 Å
α = 90.00°, β = 90.00°, γ = 90.00°
Space group Pnma (No. 62)
One atom of each set of equivalent atoms:
Ba (0.168, 0.007, 0.076)
U (0.004, 0.250, 0.554)
S (0.014, 0.250, 0.898)
S (0.063, 0.541, 0.669)
S (0.186, 0.250, 0.395)
S (0.194, 0.750, 0.365)


DFT (PBE-GGA) results for a relaxed structure of Ba2U2S5.

a = 19.934 Å, b = 7.778 Å, c = 7.306 Å
α = 90.00°, β = 90.00°, γ = 90.00°
Space group Ima2 (No. 46)
One atom of each set of equivalent atoms:
Ba (0.103, 0.031, 0.000)
U (0.000, 0.000, 0.486)
U (0.250, 0.585, 0.031)
S (0.015, 0.744, 0.239)
S (0.136, 0.070, 0.447)
S (0.250, 0.595, 0.399)


DFT (PBE-GGA) results for a relaxed structure of BaU2S7.

a = 8.091 Å, b = 12.693 Å, c = 5.118 Å
α = 90.00°, β = 90.00°, γ = 90.00°
Space group Cmmm (No. 65)
One atom of each set of equivalent atoms:
Ba (0.000, 0.000, 0.000)
U (0.000, 0.298, 0.500)
S (0.000, 0.288, 0.000)
S (0.000, 0.500, 0.500)
S (0.191, 0.129, 0.500)


DFT (PBE-GGA) results for a relaxed structure of Ba3U2S9.

a = 12.1874 Å, b = 12.1874 Å, c = 17.7080 Å
α = 90.00°, β = 90.00°, γ = 120.00°
Space group R-3c (No. 167, hexagonal axes)
One atom of each set of equivalent atoms:
Ba (0.9999, 0.3333, 0.0833)
U (0.0000, 0.0000, 0.1513)
S (0.0000, 0.1634, 0.2500)
S (0.0054, 0.1810, 0.9154)


DFT (PBE-GGA) results for a relaxed structure of BaU3S8.

a = 7.9878 Å, b = 7.9878 Å, c = 22.7818 Å
α = 90.00°, β = 90.00°, γ = 120.00°
Space group R-3m (No. 166, hexagonal axes)
One atom of each set of equivalent atoms:
Ba (0.0000, 0.0000, 0.0000)
U (0.0000, 0.5000, 0.5000)
S (0.0000, 0.0000, 0.2282)
S (0.0269, 0.5135, 0.7717)


DFT (PBE-GGA) results for a relaxed structure of Ba2US4.

a = 7.712 Å, b = 7.225 Å, c = 8.957 Å
α = 90.00°, β = 108.41°, γ = 90.00°
Space group P2_1/m (No. 11)
One atom of each set of equivalent atoms:
Ba (0.189, 0.250, 0.054)
Ba (0.247, 0.250, 0.553)
U (0.273, 0.750, 0.817)
S (0.023, 0.501, 0.749)
S (0.462, 0.750, 0.631)
S (0.479, 0.750, 0.103)


How do the records compare in total DFT energy (no corrections)? In the order shown, they have -358.17, -193.84, -183.85, -181.95, -124.18, -88.73, -260.98, -208.31, -151.09, -223.87, -386.61, -196.20, -243.54, -132.05, -523.14, -257.08, -85.43 eV for the cell shown.
How do the records compare in uncorrected formation energy? In the order shown, they have -1.79, -1.59, -1.63, -1.56, -1.47, -1.82, -1.58, -1.58, -1.34, -1.71, -1.56, -1.66, -1.54, -1.26, -1.55, -1.41, -1.58 eV/atom.